The following is a GGA-PBE calculation of a geometry-optimized ErTmNiPd structure, from the Alexandria database. Values from VASP.

Structure (Quantum ESPRESSO input):
```
&SYSTEM
  ibrav = 0, nat = 4, ntyp = 4
/
ATOMIC_SPECIES
Er 167.26 Er.upf
Pd 106.42 Pd.upf
Ni 58.69 Ni.upf
Tm 168.93 Tm.upf
ATOMIC_POSITIONS angstrom
Er -0.4594 1.1027 0.8149
Pd -2.9219 -0.3961 0.3312
Ni -1.3644 3.2749 2.4201
Tm -3.8430 1.8146 1.9649
CELL_PARAMETERS angstrom
-2.7336 0.6606 -2.4351
-2.5937 -2.6926 2.1813
-0.2639 3.5838 4.1100
```

Calculated values
Crystal system: orthorhombic
Energy relative to the lowest polymorph listed for this composition in eV/atom: 0.000
Theoretical density in Mg/m³: 10.07
SG: Amm2
DFT formation energy in eV per atom: -0.70